Entry 1:
A plane-wave DFT calculation with PBE was carried out for a relaxed Ho12Ni6Ir crystal.

The space group is R-3 (No. 148, hexagonal axes) and the conventional cell measures 12.1128, 12.1128 and 11.4622 Å, with angles of 90.00, 90.00 and 120.00 degrees. Symmetry generates all atoms from Ho at (0.0212, 0.8145, 0.3884), Ho at (0.0287, 0.8265, 0.8771), Ni at (0.0359, 0.7767, 0.6440) and Ir at (0.0000, 0.0000, 0.0000).

The calculation puts the total energy at -5.456 eV/atom. Its calculated formation energy is -0.27 eV per atom. As for the total moment: 0.00 μB per formula unit. The calculated volume comes out at 25.55 A^3/atom.



Entry 2:
A plane-wave DFT calculation with PBE was carried out for a relaxed Ho3NiIr crystal.

The space group is Pmmn (No. 59, origin choice 2) and the conventional cell measures 4.052, 8.897 and 6.284 Å, with angles of 90.00, 90.00 and 90.00 degrees. Symmetry generates all atoms from Ho at (0.250, 0.057, 0.231), Ho at (0.250, 0.250, 0.720), Ni at (0.250, 0.750, 0.569) and Ir at (0.250, 0.750, 0.975).

The calculation puts the total energy at -6.219 eV/atom. Its calculated formation energy is -0.54 eV per atom. As for the total moment: 0.00 μB per formula unit. The calculated volume comes out at 22.65 A^3/atom.



Entry 3:
A plane-wave DFT calculation with PBE was carried out for a relaxed HoNi3Ir2 crystal.

The space group is Cmcm (No. 63) and the conventional cell measures 8.999, 8.251 and 5.102 Å, with angles of 90.00, 90.00 and 90.00 degrees. Symmetry generates all atoms from Ho at (0.000, 0.197, 0.250), Ni at (0.000, 0.454, 0.750), Ni at (0.182, 0.239, 0.750) and Ir at (0.236, 0.500, 0.000).

As for the relative energy among the computed polymorphs: 0.00 eV/f.u. The calculation puts the total energy at -6.865 eV/atom. Its calculated formation energy is -0.26 eV per atom. As for the total moment: 0.00 μB per formula unit. The calculated volume comes out at 15.78 A^3/atom.



Entry 4:
A plane-wave DFT calculation with PBE was carried out for a relaxed Ho2NiIr2 crystal.

The space group is Immm (No. 71) and the conventional cell measures 4.226, 5.519 and 8.238 Å, with angles of 90.00, 90.00 and 90.00 degrees. Symmetry generates all atoms from Ho at (0.000, 0.000, 0.202), Ni at (0.000, 0.500, 0.000) and Ir at (0.000, 0.259, 0.500).

The calculation puts the total energy at -7.243 eV/atom. Its calculated formation energy is -0.71 eV per atom. As for the total moment: 0.00 μB per formula unit. The calculated volume comes out at 19.22 A^3/atom.



Entry 5:
A plane-wave DFT calculation with PBE was carried out for a relaxed Ho6NiIr5 crystal.

The space group is P2/m (No. 10) and the conventional cell measures 4.744, 7.023 and 7.500 Å, with angles of 90.00, 108.26 and 90.00 degrees. Symmetry generates all atoms from Ho at (0.000, 0.250, 0.000), Ho at (0.333, 0.249, 0.666), Ni at (0.500, 0.000, 0.000), Ir at (0.164, 0.000, 0.329), Ir at (0.167, 0.500, 0.335) and Ir at (0.500, 0.500, 0.000).

The calculation puts the total energy at -7.255 eV/atom. Its calculated formation energy is -0.79 eV per atom. As for the total moment: 0.00 μB per formula unit. The calculated volume comes out at 19.77 A^3/atom.



Entry 6:
A plane-wave DFT calculation with PBE was carried out for a relaxed HoNi3Ir2 crystal.

The space group is R-3m (No. 166, hexagonal axes) and the conventional cell measures 5.4872, 5.4872 and 19.7888 Å, with angles of 90.00, 90.00 and 120.00 degrees. Symmetry generates all atoms from Ho at (0.0000, 0.0000, 0.2144), Ni at (0.0256, 0.5128, 0.2264), Ir at (0.0000, 0.0000, 0.0000) and Ir at (0.0000, 0.5000, 0.0000).

As for the relative energy among the computed polymorphs: 0.32 eV/f.u. The calculation puts the total energy at -6.812 eV/atom. Its calculated formation energy is -0.21 eV per atom. As for the total moment: 0.00 μB per formula unit. The calculated volume comes out at 14.33 A^3/atom.



Entry 7:
A plane-wave DFT calculation with PBE was carried out for a relaxed Ho3Ni2Ir crystal.

The space group is Pnma (No. 62) and the conventional cell measures 11.056, 4.121 and 11.080 Å, with angles of 90.00, 90.00 and 90.00 degrees. Symmetry generates all atoms from Ho at (0.053, 0.250, 0.123), Ho at (0.118, 0.750, 0.558), Ho at (0.212, 0.250, 0.798), Ni at (0.018, 0.750, 0.304), Ni at (0.186, 0.750, 0.005) and Ir at (0.132, 0.250, 0.373).

The calculation puts the total energy at -6.218 eV/atom. Its calculated formation energy is -0.53 eV per atom. As for the total moment: 0.00 μB per formula unit. The calculated volume comes out at 21.03 A^3/atom.



Entry 8:
A plane-wave DFT calculation with PBE was carried out for a relaxed Ho7Ni2Ir2 crystal.

The space group is Cmmm (No. 65) and the conventional cell measures 8.408, 10.206 and 6.830 Å, with angles of 90.00, 90.00 and 90.00 degrees. Symmetry generates all atoms from Ho at (0.000, 0.000, 0.000), Ho at (0.000, 0.500, 0.258), Ho at (0.250, 0.250, 0.259), Ni at (0.239, 0.000, 0.500) and Ir at (0.000, 0.277, 0.000).

The calculation puts the total energy at -5.913 eV/atom. Its calculated formation energy is -0.34 eV per atom. As for the total moment: 0.00 μB per formula unit. The calculated volume comes out at 26.64 A^3/atom.



Entry 9:
A plane-wave DFT calculation with PBE was carried out for a relaxed HoNi2Ir2 crystal.

The space group is I4/mmm (No. 139) and the conventional cell measures 3.871, 3.871 and 21.775 Å, with angles of 90.00, 90.00 and 90.00 degrees. Symmetry generates all atoms from Ho at (0.000, 0.000, 0.125), Ni at (0.000, 0.000, 0.323), Ni at (0.000, 0.500, 0.000), Ir at (0.000, 0.000, 0.429) and Ir at (0.000, 0.500, 0.250).

The calculation puts the total energy at -6.990 eV/atom. Its calculated formation energy is -0.22 eV per atom. As for the total moment: 0.67 μB per formula unit. The calculated volume comes out at 16.32 A^3/atom.



Entry 10:
A plane-wave DFT calculation with PBE was carried out for a relaxed Ho2Ni3Ir crystal.

The space group is R-3m (No. 166, hexagonal axes) and the conventional cell measures 5.0564, 5.0564 and 12.9556 Å, with angles of 90.00, 90.00 and 120.00 degrees. Symmetry generates all atoms from Ho at (0.0000, 0.0000, 0.1232), Ni at (0.0000, 0.5000, 0.0000) and Ir at (0.0000, 0.0000, 0.5000).

The calculation puts the total energy at -6.483 eV/atom. Its calculated formation energy is -0.59 eV per atom. As for the total moment: 0.00 μB per formula unit. The calculated volume comes out at 15.94 A^3/atom.



Entry 11:
A plane-wave DFT calculation with PBE was carried out for a relaxed Ho3NiIr2 crystal.

The space group is Pnma (No. 62) and the conventional cell measures 11.094, 4.160 and 10.889 Å, with angles of 90.00, 90.00 and 90.00 degrees. Symmetry generates all atoms from Ho at (0.046, 0.250, 0.121), Ho at (0.118, 0.750, 0.562), Ho at (0.214, 0.250, 0.802), Ni at (0.130, 0.250, 0.371), Ir at (0.017, 0.750, 0.307) and Ir at (0.192, 0.750, 0.009).

The calculation puts the total energy at -6.936 eV/atom. Its calculated formation energy is -0.73 eV per atom. As for the total moment: 0.00 μB per formula unit. The calculated volume comes out at 20.94 A^3/atom.



Entry 12:
A plane-wave DFT calculation with PBE was carried out for a relaxed Ho3Ni8Ir crystal.

The space group is R3m (No. 160, hexagonal axes) and the conventional cell measures 4.9667, 4.9667 and 24.3641 Å, with angles of 90.00, 90.00 and 120.00 degrees. Symmetry generates all atoms from Ho at (0.0000, 0.0000, 0.0000), Ho at (0.0000, 0.0000, 0.1308), Ho at (0.0000, 0.0000, 0.5197), Ni at (0.0000, 0.0000, 0.3195), Ni at (0.0000, 0.0000, 0.8200), Ni at (0.1674, 0.3348, 0.4018), Ni at (0.1685, 0.3370, 0.9039) and Ir at (0.0000, 0.0000, 0.6398).

The calculation puts the total energy at -6.110 eV/atom. Its calculated formation energy is -0.37 eV per atom. As for the total moment: 1.83 μB per formula unit. The calculated volume comes out at 14.46 A^3/atom.